Entry 1:
This record from the Alexandria database describes a relaxed structure of SrZnSi3. The functional is GGA-PBE.

Geometry as POSCAR:
```
SrZnSi3
1.0
5.660 0.000 0.000
0.000 5.660 0.000
0.000 0.000 5.660
Sr Zn Si
1 1 3
Cartesian
0.000 0.000 0.000
2.830 2.830 2.830
0.000 0.000 2.830
0.000 2.830 0.000
2.830 0.000 0.000
```

Output
crystal system: cubic
space-group type: Pm-3m, No. 221

Entry 2:
This record from the Alexandria database describes a relaxed structure of LiUP2O8. The functional is GGA-PBE.

Geometry as POSCAR:
```
LiUP2O8
1.0
5.420 0.000 0.000
-2.710 4.693 0.000
0.000 0.000 6.550
Li U P O
1 1 2 8
Cartesian
0.000 0.000 0.000
0.000 0.000 3.275
0.000 3.129 5.246
2.710 1.564 1.304
0.000 1.678 4.616
-1.257 3.855 4.616
0.000 3.129 0.178
1.453 0.839 1.935
1.257 3.855 4.616
2.710 1.564 6.372
3.967 0.839 1.935
2.710 3.016 1.935
```

Output
crystal system: trigonal
space-group type: P-3m1, No. 164

Entry 3:
This record from the Alexandria database describes a relaxed structure of ErPu2NiN4. The functional is GGA-PBE.

Geometry as POSCAR:
```
ErPu2NiN4
1.0
1.695 -5.516 0.000
1.695 5.516 0.000
0.000 0.000 11.395
Er Pu Ni N
2 4 2 8
Cartesian
1.695 4.336 8.546
1.695 -4.336 2.849
1.695 1.435 6.365
1.695 1.435 10.727
1.695 -1.435 0.668
1.695 -1.435 5.030
1.695 3.781 2.849
1.695 -3.781 8.546
0.000 0.000 0.000
0.000 0.000 5.697
1.695 2.558 1.321
1.695 2.558 4.376
1.695 0.524 8.546
1.695 -0.524 2.849
1.695 -2.558 7.019
1.695 -2.558 10.073
```

Output
crystal system: orthorhombic
space-group type: Cmcm, No. 63

Entry 4:
This record from the Alexandria database describes a relaxed structure of La2TlB. The functional is GGA-PBE.

Geometry as POSCAR:
```
La2TlB
1.0
0.000 3.755 3.755
3.755 0.000 3.755
3.755 3.755 0.000
La Tl B
2 1 1
Cartesian
1.877 1.877 1.877
5.632 5.632 5.632
0.000 0.000 0.000
3.755 3.755 3.755
```

Output
energy of formation from the pure elements: 0.25 eV/atom
polymorph energy (0 for the lowest one): 118 meV/atom
crystal system: cubic
space-group type: Fm-3m, No. 225

Entry 5:
This record from the Alexandria database describes a relaxed structure of NaLiW2. The functional is GGA-PBE.

Geometry as POSCAR:
```
NaLiW2
1.0
0.000 3.144 3.144
3.144 0.000 3.144
3.144 3.144 0.000
Na Li W
1 1 2
Cartesian
0.000 0.000 0.000
3.144 3.144 3.144
1.572 1.572 1.572
4.717 4.717 4.717
```

Output
energy of formation from the pure elements: 1.73 eV/atom
polymorph energy (0 for the lowest one): 677 meV/atom
crystal system: cubic
space-group type: Fm-3m, No. 225

Entry 6:
This record from the Alexandria database describes a relaxed structure of BaMgP2. The functional is GGA-PBE.

Geometry as POSCAR:
```
BaMgP2
1.0
-2.082 2.118 6.148
2.082 -2.118 6.148
2.082 2.118 -6.148
Ba Mg P
1 1 2
Cartesian
0.000 0.000 0.000
0.000 2.118 3.033
2.082 0.000 2.595
0.000 0.000 7.562
```

Output
energy of formation from the pure elements: -0.35 eV/atom
crystal system: orthorhombic
space-group type: Imm2, No. 44

Entry 7:
This record from the Alexandria database describes a relaxed structure of BaDyCdSn. The functional is GGA-PBE.

Geometry as POSCAR:
```
BaDyCdSn
1.0
0.000 3.986 3.986
3.986 0.000 3.986
3.986 3.986 0.000
Ba Dy Cd Sn
1 1 1 1
Cartesian
0.000 0.000 0.000
3.986 3.986 3.986
1.993 1.993 1.993
5.979 5.979 5.979
```

Output
energy of formation from the pure elements: -0.37 eV/atom
crystal system: cubic
space-group type: F-43m, No. 216

Entry 8:
This record from the Alexandria database describes a relaxed structure of MnNb2Zn. The functional is GGA-PBE.

Geometry as POSCAR:
```
MnNb2Zn
1.0
-3.516 3.516 2.682
3.516 -3.516 2.682
3.516 3.516 -2.682
Mn Nb Zn
2 4 2
Cartesian
0.000 0.000 0.000
0.000 3.516 1.341
1.758 1.487 -0.671
2.029 -1.758 3.353
1.758 2.029 2.012
1.487 5.274 0.671
3.516 0.000 1.341
0.000 0.000 2.682
```

Output
energy of formation from the pure elements: 0.42 eV/atom
crystal system: tetragonal
space-group type: I-42d, No. 122

Entry 9:
This record from the Alexandria database describes a relaxed structure of MnTe2Au. The functional is GGA-PBE.

Geometry as POSCAR:
```
MnTe2Au
1.0
6.766 0.000 0.000
0.000 8.908 0.000
0.000 0.000 6.765
Mn Te Au
4 8 4
Cartesian
0.739 0.781 0.000
2.644 5.235 3.382
4.122 3.672 0.000
6.026 8.126 3.382
0.500 6.158 4.146
0.746 1.029 4.314
2.637 5.483 0.932
2.882 1.704 0.764
3.883 7.204 4.146
4.129 3.425 4.314
6.019 7.878 0.932
6.265 2.750 0.764
0.176 3.592 3.417
3.207 8.046 0.034
3.558 0.862 3.417
6.590 5.316 0.034
```

Output
polymorph energy (0 for the lowest one): 327 meV/atom
crystal system: orthorhombic
space-group type: Pna2_1, No. 33

Entry 10:
This record from the Alexandria database describes a relaxed structure of KLaTe2. The functional is GGA-PBE.

Geometry as POSCAR:
```
KLaTe2
1.0
-2.342 2.342 6.007
2.342 -2.342 6.007
2.342 2.342 -6.007
K La Te
1 1 2
Cartesian
0.000 0.000 0.000
2.342 0.000 3.004
0.000 0.000 6.007
0.000 2.342 3.004
```

Output
crystal system: tetragonal
space-group type: I-4m2, No. 119

Entry 11:
This record from the Alexandria database describes a relaxed structure of Pr2Ge2Ir3. The functional is GGA-PBE.

Geometry as POSCAR:
```
Pr2Ge2Ir3
1.0
5.591 0.000 0.000
0.000 4.152 0.000
-2.257 0.000 7.429
Pr Ge Ir
2 2 3
Cartesian
0.105 0.000 1.989
3.230 0.000 5.440
0.390 2.076 5.571
2.944 2.076 1.858
-1.128 2.076 3.715
1.248 2.076 0.158
2.086 2.076 7.271
```

Output
energy of formation from the pure elements: -0.41 eV/atom
crystal system: monoclinic
space-group type: P2/m, No. 10

Entry 12:
This record from the Alexandria database describes a relaxed structure of ZnSiRh4. The functional is GGA-PBE.

Geometry as POSCAR:
```
ZnSiRh4
1.0
0.000 3.608 3.608
3.608 0.000 3.608
3.608 3.608 0.000
Zn Si Rh
1 1 4
Cartesian
0.000 0.000 0.000
1.804 1.804 1.804
4.509 2.707 2.707
2.707 4.509 2.707
2.707 2.707 4.509
4.509 4.509 4.509
```

Output
polymorph energy (0 for the lowest one): 489 meV/atom
crystal system: cubic
space-group type: F-43m, No. 216

Total energy per entry: -10.5; -93.1; -161.2; -17.9; -22.2; -15.7; -12.9; -57.8; -71.1; -16.6; -48.2; -34.3 eV/cell